Here is a relaxed CaTbGdOs crystal from Alexandria. Energies are from PBE.

Structure (CIF):
```
data_CaTbGdOs
_cell_length_a 7.274
_cell_length_b 7.274
_cell_length_c 7.274
_cell_angle_alpha 90.00
_cell_angle_beta 90.00
_cell_angle_gamma 90.00
_symmetry_space_group_name_H-M 'F -4 3 m'
_symmetry_Int_Tables_number 216
_symmetry_space_group_name_Hall 'F -4 2 3'
loop_
_atom_site_label
_atom_site_type_symbol
_atom_site_fract_x
_atom_site_fract_y
_atom_site_fract_z
Ca1 Ca 0.000 0.000 0.000
Tb1 Tb 0.250 0.250 0.750
Gd1 Gd 0.250 0.250 0.250
Os1 Os 0.000 0.000 0.500
```

## Properties
- crystal system = cubic

=====

Here is a relaxed CaGdYOs crystal from Alexandria. Energies are from PBE.

Structure (CIF):
```
data_CaGdYOs
_cell_length_a 7.276
_cell_length_b 7.276
_cell_length_c 7.276
_cell_angle_alpha 90.00
_cell_angle_beta 90.00
_cell_angle_gamma 90.00
_symmetry_space_group_name_H-M 'F -4 3 m'
_symmetry_Int_Tables_number 216
_symmetry_space_group_name_Hall 'F -4 2 3'
loop_
_atom_site_label
_atom_site_type_symbol
_atom_site_fract_x
_atom_site_fract_y
_atom_site_fract_z
Ca1 Ca 0.000 0.000 0.000
Gd1 Gd 0.250 0.250 0.250
Y1 Y 0.250 0.250 0.750
Os1 Os 0.000 0.000 0.500
```

## Properties
- crystal system = cubic

=====

Here is a relaxed CaGdP2 crystal from Alexandria. Energies are from PBE.

Structure (CIF):
```
data_CaGdP2
_cell_length_a 4.0852
_cell_length_b 4.0852
_cell_length_c 20.1393
_cell_angle_alpha 90.00
_cell_angle_beta 90.00
_cell_angle_gamma 120.00
_symmetry_space_group_name_H-M 'R -3 m'
_symmetry_Int_Tables_number 166
_symmetry_space_group_name_Hall '-R 3 2"'
loop_
_atom_site_label
_atom_site_type_symbol
_atom_site_fract_x
_atom_site_fract_y
_atom_site_fract_z
Ca1 Ca 0.0000 0.0000 0.0000
Gd1 Gd 0.0000 0.0000 0.5000
P1 P 0.0000 0.0000 0.2455
```

## Properties
- crystal system = trigonal

=====

Here is a relaxed CaGdP crystal from Alexandria. Energies are from PBE.

Structure (CIF):
```
data_CaGdP
_cell_length_a 4.0310
_cell_length_b 4.0310
_cell_length_c 6.6266
_cell_angle_alpha 90.00
_cell_angle_beta 90.00
_cell_angle_gamma 120.00
_symmetry_space_group_name_H-M 'P 3 m 1'
_symmetry_Int_Tables_number 156
loop_
_symmetry_equiv_pos_as_xyz
'x,y,z'
'-y,x-y,z'
'-x+y,-x,z'
'-y,-x,z'
'-x+y,y,z'
'x,x-y,z'
loop_
_atom_site_label
_atom_site_type_symbol
_atom_site_fract_x
_atom_site_fract_y
_atom_site_fract_z
Ca1 Ca 0.0000 0.0000 0.0000
Gd1 Gd 0.3333 0.6667 0.4791
P1 P 0.6667 0.3333 0.2577
```

## Properties
- crystal system = trigonal

=====

Here is a relaxed CaGd2P crystal from Alexandria. Energies are from PBE.

Structure (CIF):
```
data_CaGd2P
_cell_length_a 3.8549
_cell_length_b 3.8549
_cell_length_c 30.9693
_cell_angle_alpha 90.00
_cell_angle_beta 90.00
_cell_angle_gamma 120.00
_symmetry_space_group_name_H-M 'R -3 m'
_symmetry_Int_Tables_number 166
_symmetry_space_group_name_Hall '-R 3 2"'
loop_
_atom_site_label
_atom_site_type_symbol
_atom_site_fract_x
_atom_site_fract_y
_atom_site_fract_z
Ca1 Ca 0.0000 0.0000 0.0000
Gd1 Gd 0.0000 0.0000 0.1150
P1 P 0.0000 0.0000 0.5000
```

## Properties
- crystal system = trigonal

=====

Here is a relaxed CaGdPb crystal from Alexandria. Energies are from PBE.

Structure (CIF):
```
data_CaGdPb
_cell_length_a 7.517
_cell_length_b 7.517
_cell_length_c 7.517
_cell_angle_alpha 90.00
_cell_angle_beta 90.00
_cell_angle_gamma 90.00
_symmetry_space_group_name_H-M 'F -4 3 m'
_symmetry_Int_Tables_number 216
_symmetry_space_group_name_Hall 'F -4 2 3'
loop_
_atom_site_label
_atom_site_type_symbol
_atom_site_fract_x
_atom_site_fract_y
_atom_site_fract_z
Ca1 Ca 0.000 0.000 0.000
Gd1 Gd 0.000 0.000 0.500
Pb1 Pb 0.250 0.250 0.250
```

## Properties
- energy above the most stable polymorph in this dataset (meV per atom) = 0
- crystal system = cubic

=====

Record-wise volume values, in Å³/cell: 385, 385, 291, 93, 399, 425
Record-wise energy relative to the elements values, in eV per atom: 0.1111, 0.1145, -1.1780, -0.8913, -0.6237, -0.3284